1.
A plane-wave DFT calculation with PBE was carried out for an optimized crystal structure of Sc2HgO.

Properties
Formation energy from raw total energies, kJ per mole of atoms: -158
Spin magnetization, μB/cell: 0.00
Density of states at the Fermi level, states/eV per cell: 6.536
Crystal system: monoclinic
Symmetry: No. 12

Cell lengths 4.213, 4.213, 8.144 Å; angles 96.18, 96.18, 89.67 degrees
Atoms (fractional coordinates):
Sc (0.248, 0.752, 0.000)
Sc (0.308, 0.308, 0.329)
Sc (0.692, 0.692, 0.671)
Sc (0.752, 0.248, 0.000)
Hg (0.184, 0.184, 0.672)
Hg (0.816, 0.816, 0.328)
O (0.269, 0.269, 0.069)
O (0.731, 0.731, 0.931)

***

2.
A plane-wave DFT calculation with PBE was carried out for an optimized crystal structure of LiPuAu4.

Properties
Spin magnetization, μB/cell: 5.86
Density of states at the Fermi level, states/eV per cell: 10.192
Crystal system: monoclinic
DFT formation energy, meV/atom: -398
Symmetry: No. 10

Cell lengths 2.958, 4.916, 8.153 Å; angles 90.00, 97.15, 90.00 degrees
Atoms (fractional coordinates):
Li (0.000, 0.000, 0.000)
Pu (0.000, 0.500, 0.500)
Au (0.325, 0.500, 0.151)
Au (0.468, 0.000, 0.321)
Au (0.532, 0.000, 0.679)
Au (0.675, 0.500, 0.849)

***

3.
A plane-wave DFT calculation with PBE was carried out for an optimized crystal structure of CuPbCl2.

Properties
Formation energy from raw total energies, kJ per mole of atoms: -12
Spin magnetization, μB/cell: 0.00
Density of states at the Fermi level, states/eV per cell: 2.448
Crystal system: tetragonal
Symmetry: No. 119

Cell lengths 6.190, 6.190, 6.190 Å; angles 140.91, 140.91, 56.48 degrees
Atoms (fractional coordinates):
Cu (0.000, 0.000, 0.000)
Pb (0.250, 0.750, 0.500)
Cl (0.500, 0.500, 0.000)
Cl (0.750, 0.250, 0.500)

***

4.
A plane-wave DFT calculation with PBE was carried out for an optimized crystal structure of TiZnN2O.

Properties
Formation energy from raw total energies, kJ per mole of atoms: 53
Spin magnetization, μB/cell: 0.00
Density of states at the Fermi level, states/eV per cell: 2.283
Crystal system: tetragonal
Symmetry: No. 123

Cell lengths 3.767, 3.767, 3.729 Å; angles 90.00, 90.00, 90.00 degrees
Atoms (fractional coordinates):
Ti (0.000, 0.000, 0.000)
Zn (0.500, 0.500, 0.500)
N (0.000, 0.500, 0.500)
N (0.500, 0.000, 0.500)
O (0.500, 0.500, 0.000)

***

5.
A plane-wave DFT calculation with PBE was carried out for an optimized crystal structure of InFeSi2.

Properties
Formation energy from raw total energies, kJ per mole of atoms: 52
Spin magnetization, μB/cell: 2.12
Density of states at the Fermi level, states/eV per cell: 3.390
Crystal system: tetragonal
Symmetry: No. 123

Cell lengths 3.729, 3.729, 4.653 Å; angles 90.00, 90.00, 90.00 degrees
Atoms (fractional coordinates):
In (0.000, 0.000, 0.000)
Fe (0.500, 0.500, 0.000)
Si (0.000, 0.500, 0.500)
Si (0.500, 0.000, 0.500)

***

6.
A plane-wave DFT calculation with PBE was carried out for an optimized crystal structure of LaScAg2Te4.

Properties
Formation energy from raw total energies, kJ per mole of atoms: -72
Spin magnetization, μB/cell: 0.13
Density of states at the Fermi level, states/eV per cell: 2.209
Crystal system: orthorhombic
Symmetry: No. 23

Cell lengths 6.818, 6.818, 6.818 Å; angles 112.64, 111.39, 104.50 degrees
Atoms (fractional coordinates):
La (0.000, 0.000, 0.000)
Sc (0.500, 0.500, 0.000)
Ag (0.331, 0.831, 0.500)
Ag (0.669, 0.169, 0.500)
Te (0.092, 0.103, 0.561)
Te (0.457, 0.897, 0.988)
Te (0.543, 0.531, 0.439)
Te (0.908, 0.469, 0.012)

***

7.
A plane-wave DFT calculation with PBE was carried out for an optimized crystal structure of Sm2Sc4Sn3O2.

Properties
Formation energy from raw total energies, kJ per mole of atoms: -150
Spin magnetization, μB/cell: 0.00
Density of states at the Fermi level, states/eV per cell: 8.790
Crystal system: tetragonal
Symmetry: No. 139

Cell lengths 12.699, 12.699, 12.699 Å; angles 159.96, 159.96, 28.48 degrees
Atoms (fractional coordinates):
Sm (0.193, 0.193, 0.000)
Sm (0.807, 0.807, 0.000)
Sc (0.081, 0.581, 0.500)
Sc (0.419, 0.919, 0.500)
Sc (0.581, 0.081, 0.500)
Sc (0.919, 0.419, 0.500)
Sn (0.328, 0.328, 0.000)
Sn (0.500, 0.500, 0.000)
Sn (0.672, 0.672, 0.000)
O (0.090, 0.090, 0.000)
O (0.910, 0.910, 0.000)

***

8.
A plane-wave DFT calculation with PBE was carried out for an optimized crystal structure of SrMnPt.

Properties
Spin magnetization, μB/cell: 3.93
Density of states at the Fermi level, states/eV per cell: 2.988
Crystal system: hexagonal
DFT formation energy, meV/atom: -286
Symmetry: No. 187

Cell lengths 4.368, 4.368, 4.545 Å; angles 90.00, 90.00, 120.00 degrees
Atoms (fractional coordinates):
Sr (0.000, 0.000, 0.000)
Mn (0.667, 0.333, 0.500)
Pt (0.333, 0.667, 0.500)

***

9.
A plane-wave DFT calculation with PBE was carried out for an optimized crystal structure of TbThIr.

Properties
Spin magnetization, μB/cell: 0.00
Density of states at the Fermi level, states/eV per cell: 2.849
Crystal system: trigonal
DFT formation energy, meV/atom: -606
Symmetry: No. 160

Cell lengths 6.096, 6.096, 6.096 Å; angles 40.96, 40.96, 40.96 degrees
Atoms (fractional coordinates):
Tb (0.000, 0.000, 0.000)
Th (0.500, 0.500, 0.500)
Ir (0.752, 0.752, 0.752)

***

Q: Which value of density of states at the Fermi level does entry 9 give?
A: 2.849 states/eV per cell